Entry 1:
# LuGaPd

LuGaPd after structural relaxation (GGA-PBE, OQMD via LeMat-Bulk).

a b c (Å): 5.691 4.012 10.645
angles (deg): 90.00 90.00 90.00
Element x y z (fractional)
Ga1 0.114 0.250 0.122
Ga2 0.614 0.250 0.378
Ga3 0.386 0.750 0.622
Ga4 0.886 0.750 0.878
Lu1 0.740 0.750 0.163
Lu2 0.240 0.750 0.337
Lu3 0.760 0.250 0.663
Lu4 0.260 0.250 0.837
Pd1 0.322 0.750 0.034
Pd2 0.822 0.750 0.466
Pd3 0.178 0.250 0.534
Pd4 0.678 0.250 0.966

Properties
For the total energy, the calculation gives -14.64 eV/f.u.



Entry 2:
# Ho3Co

Ho3Co after structural relaxation (GGA-PBE, OQMD via LeMat-Bulk).

a b c (Å): 5.117 5.117 5.117
angles (deg): 60.00 60.00 60.00
Element x y z (fractional)
Co1 0.750 0.750 0.750
Ho1 0.000 0.000 0.000
Ho2 0.250 0.250 0.250
Ho3 0.500 0.500 0.500

Properties
The calculation puts the formation energy at 0.301 eV/atom. For the total energy, the calculation gives -19.63 eV/f.u.



Entry 3:
# Er3In3NiAg2

Er3In3NiAg2 after structural relaxation (GGA-PBE, OQMD via LeMat-Bulk).

a b c (Å): 7.684 7.684 3.866
angles (deg): 90.00 90.00 120.00
Element x y z (fractional)
Ag1 0.667 0.333 0.500
Ag2 0.333 0.667 0.500
Er1 0.601 0.000 0.000
Er2 0.399 0.399 0.000
Er3 0.000 0.601 0.000
In1 0.248 0.000 0.500
In2 0.000 0.248 0.500
In3 0.752 0.752 0.500
Ni1 0.000 0.000 0.000

Properties
For the total energy, the calculation gives -37.19 eV/f.u.